Computed, not measured: a relaxed structure of RbScVRe2 at the PBE-GGA level of DFT.

Cell: 4.625 4.625 5.203 Å, 90.00 90.00 90.00°
Space group P4/mmm (No. 123)
One atom of each set of equivalent atoms:
Rb (0.000, 0.000, 0.000) x1
Sc (0.500, 0.500, 0.000) x1
V (0.000, 0.000, 0.500) x1
Re (0.000, 0.500, 0.500) x2

- Total energy: -6.56 eV per atom
- Energy relative to the elements: 1700 meV/atom
- Crystal system: tetragonal
- M_tot: 0.00 Bohr magnetons per cell



Computed, not measured: a relaxed structure of RbTcN3 at the PBE-GGA level of DFT.

Cell: 4.101 4.101 4.101 Å, 90.00 90.00 90.00°
Space group Pm-3m (No. 221)
One atom of each set of equivalent atoms:
Rb (0.000, 0.000, 0.000) x1
Tc (0.500, 0.500, 0.500) x1
N (0.000, 0.000, 0.500) x3

- Total energy: -3.40 eV per atom
- Crystal system: cubic
- ΔE_f (raw): 3.87 eV/atom
- M_tot: 0.01 Bohr magnetons per cell



Computed, not measured: a relaxed structure of AgWAu2 at the PBE-GGA level of DFT.

Cell: 2.766 5.025 10.259 Å, 90.00 90.00 90.00°
Space group Imm2 (No. 44)
One atom of each set of equivalent atoms:
Ag (0.000, 0.000, 0.000) x2
W (0.000, 0.500, 0.250) x2
Au (0.000, 0.000, 0.517) x2
Au (0.000, 0.500, 0.763) x2

- Total energy: -5.12 eV per atom
- Energy relative to the elements: 467 meV/atom
- Crystal system: orthorhombic
- M_tot: 0.00 Bohr magnetons per cell
- Energy above the most stable polymorph in this dataset: 0.2377 eV per atom



Computed, not measured: a relaxed structure of KMn at the PBE-GGA level of DFT.

Cell: 4.174 4.174 4.174 Å, 90.00 90.00 90.00°
Space group Pm-3m (No. 221)
One atom of each set of equivalent atoms:
K (0.000, 0.000, 0.000) x1
Mn (0.500, 0.500, 0.500) x1

- Total energy: -3.95 eV per atom
- Energy relative to the elements: 1187 meV/atom
- Crystal system: cubic
- M_tot: 4.39 Bohr magnetons per cell
- Energy above the most stable polymorph in this dataset: 0.4420 eV per atom



Computed, not measured: a relaxed structure of Tb2PuCr2C4 at the PBE-GGA level of DFT.

Cell: 13.086 3.409 5.949 Å, 90.00 110.40 90.00°
Space group C2/m (No. 12)
One atom of each set of equivalent atoms:
Tb (0.135, 0.000, 0.039) x4
Pu (0.000, 0.000, 0.500) x2
Cr (0.180, 0.500, 0.492) x4
C (0.039, 0.500, 0.255) x4
C (0.219, 0.000, 0.693) x4

- Total energy: -8.92 eV per atom
- Energy relative to the elements: -59 meV/atom
- Crystal system: monoclinic
- M_tot: 9.74 Bohr magnetons per cell



Computed, not measured: a relaxed structure of YB2Br at the PBE-GGA level of DFT.

Cell: 6.284 6.284 7.028 Å, 90.00 90.00 90.00°
Space group I-42d (No. 122)
One atom of each set of equivalent atoms:
Y (0.000, 0.000, 0.000) x4
B (0.191, 0.250, 0.625) x8
Br (0.000, 0.000, 0.500) x4

- Total energy: -4.27 eV per atom
- Crystal system: tetragonal
- ΔE_f (raw): 1.10 eV/atom
- M_tot: 0.00 Bohr magnetons per cell
- Energy above the most stable polymorph in this dataset: 0.0000 eV per atom



Computed, not measured: a relaxed structure of Ce2TmTh3Te6 at the PBE-GGA level of DFT.

Cell: 19.725 4.331 9.116 Å, 90.00 107.55 90.00°
Space group C2/m (No. 12)
One atom of each set of equivalent atoms:
Ce (0.167, 0.000, 0.333) x4
Tm (0.000, 0.500, 0.000) x2
Th (0.000, 0.500, 0.500) x2
Th (0.170, 0.000, 0.833) x4
Te (0.001, 0.000, 0.763) x4
Te (0.161, 0.500, 0.080) x4
Te (0.167, 0.500, 0.579) x4

- Total energy: -5.94 eV per atom
- Crystal system: monoclinic
- ΔE_f (raw): -1.16 eV/atom
- M_tot: 3.62 Bohr magnetons per cell



Computed, not measured: a relaxed structure of Sm2ErFe at the PBE-GGA level of DFT.

Cell: 3.5035 3.5035 31.9657 Å, 90.00 90.00 120.00°
Space group R-3m (No. 166, hexagonal axes)
One atom of each set of equivalent atoms:
Sm (0.0000, 0.0000, 0.1070) x6
Er (0.0000, 0.0000, 0.0000) x3
Fe (0.0000, 0.0000, 0.5000) x3

- Total energy: -5.23 eV per atom
- Energy relative to the elements: 388 meV/atom
- Crystal system: trigonal
- M_tot: 2.89 Bohr magnetons per cell



Computed, not measured: a relaxed structure of TiSbSCl2 at the PBE-GGA level of DFT.

Cell: 5.323 5.323 5.194 Å, 90.00 90.00 90.00°
Space group P4/mmm (No. 123)
One atom of each set of equivalent atoms:
Ti (0.000, 0.000, 0.000) x1
Sb (0.500, 0.500, 0.500) x1
S (0.500, 0.500, 0.000) x1
Cl (0.000, 0.500, 0.500) x2

- Total energy: -3.76 eV per atom
- Crystal system: tetragonal
- ΔE_f (raw): 0.21 eV/atom
- M_tot: 2.72 Bohr magnetons per cell
- Energy above the most stable polymorph in this dataset: 0.7174 eV per atom



Computed, not measured: a relaxed structure of ErNpO5 at the PBE-GGA level of DFT.

Cell: 4.082 6.594 8.254 Å, 90.00 90.00 90.00°
Space group Immm (No. 71)
One atom of each set of equivalent atoms:
Er (0.000, 0.000, 0.000) x2
Np (0.000, 0.000, 0.500) x2
O (0.000, 0.000, 0.265) x4
O (0.000, 0.307, 0.500) x4
O (0.000, 0.500, 0.000) x2

- Total energy: -8.90 eV per atom
- Crystal system: orthorhombic
- ΔE_f (raw): -2.86 eV/atom
- M_tot: 0.00 Bohr magnetons per cell



Computed, not measured: a relaxed structure of Ho4Ni3Rh at the PBE-GGA level of DFT.

Cell: 3.727 4.186 10.297 Å, 90.00 90.00 90.00°
Space group Pmm2 (No. 25)
One atom of each set of equivalent atoms:
Ho (0.000, 0.000, 0.000) x1
Ho (0.000, 0.500, 0.277) x1
Ho (0.500, 0.000, 0.497) x1
Ho (0.500, 0.500, 0.780) x1
Ni (0.000, 0.500, 0.556) x1
Ni (0.500, 0.000, 0.209) x1
Ni (0.500, 0.500, 0.070) x1
Rh (0.000, 0.000, 0.719) x1

- Total energy: -5.95 eV per atom
- Energy relative to the elements: -574 meV/atom
- Crystal system: orthorhombic
- M_tot: 0.00 Bohr magnetons per cell



Computed, not measured: a relaxed structure of YTi2Tc2 at the PBE-GGA level of DFT.

Cell: 7.640 7.640 3.089 Å, 90.00 90.00 90.00°
Space group P4/mbm (No. 127)
One atom of each set of equivalent atoms:
Y (0.000, 0.000, 0.000) x2
Ti (0.132, 0.368, 0.000) x4
Tc (0.148, 0.648, 0.500) x4

- Total energy: -8.63 eV per atom
- Energy relative to the elements: -29 meV/atom
- Crystal system: tetragonal
- M_tot: 0.00 Bohr magnetons per cell
- Energy above the most stable polymorph in this dataset: 0.0992 eV per atom



Question: M_tot of number 6 (YB2Br)?
Answer: 0.00 Bohr magnetons per cell



Question: What is the total energy in the fourth record?
Answer: -3.95 eV per atom



Question: M_tot of number 1 (RbScVRe2)?
Answer: 0.00 Bohr magnetons per cell



Copy entry 5 word for word.
Computed, not measured: a relaxed structure of Tb2PuCr2C4 at the PBE-GGA level of DFT.

Cell: 13.086 3.409 5.949 Å, 90.00 110.40 90.00°
Space group C2/m (No. 12)
One atom of each set of equivalent atoms:
Tb (0.135, 0.000, 0.039) x4
Pu (0.000, 0.000, 0.500) x2
Cr (0.180, 0.500, 0.492) x4
C (0.039, 0.500, 0.255) x4
C (0.219, 0.000, 0.693) x4

- Total energy: -8.92 eV per atom
- Energy relative to the elements: -59 meV/atom
- Crystal system: monoclinic
- M_tot: 9.74 Bohr magnetons per cell